# Pm3Si2C

Pm3Si2C after structural relaxation (PBE, Alexandria via LeMat-Bulk).

It has space group Immm (No. 71), with a = 3.800 Å, b = 4.825 Å, c = 16.360 Å, α = 90.00°, β = 90.00° and γ = 90.00°. The distinct sites, in fractional coordinates, are Pm at (0.000, 0.000, 0.000), Pm at (0.000, 0.500, 0.159), Si at (0.000, 0.500, 0.346) and C at (0.000, 0.500, 0.000).

The magnetization comes out at 0.502 Bohr magnetons per cell.



# Pm5SiC

Pm5SiC after structural relaxation (PBE, Alexandria via LeMat-Bulk).

It has space group C2/c (No. 15), with a = 11.830 Å, b = 7.846 Å, c = 9.878 Å, α = 90.00°, β = 114.31° and γ = 90.00°. The distinct sites, in fractional coordinates, are Pm at (0.000, 0.058, 0.250), Pm at (0.070, 0.303, 0.980), Pm at (0.225, 0.089, 0.636), Si at (0.000, 0.421, 0.250) and C at (0.000, 0.000, 0.000).

The magnetization comes out at 0.001 Bohr magnetons per cell.



# PmSiC

PmSiC after structural relaxation (PBE, Alexandria via LeMat-Bulk).

It has space group P3m1 (No. 156), with a = 3.3093 Å, b = 3.3093 Å, c = 4.9501 Å, α = 90.00°, β = 90.00° and γ = 120.00°. The distinct sites, in fractional coordinates, are Pm at (0.0000, 0.0000, 0.0000), Si at (0.3333, 0.6667, 0.4988) and C at (0.6667, 0.3333, 0.6103).

The magnetization comes out at 0.000 Bohr magnetons per cell. The calculation puts the energy relative to the lowest polymorph listed for this composition at 0.343 eV/atom.



# PmSiC

PmSiC after structural relaxation (PBE, Alexandria via LeMat-Bulk).

It has space group C2/m (No. 12), with a = 7.494 Å, b = 3.858 Å, c = 7.773 Å, α = 90.00°, β = 106.14° and γ = 90.00°. The distinct sites, in fractional coordinates, are Pm at (0.076, 0.000, 0.285), Si at (0.163, 0.500, 0.008) and C at (0.087, 0.500, 0.544).

The magnetization comes out at 0.000 Bohr magnetons per cell. The calculation puts the energy relative to the lowest polymorph listed for this composition at 0.000 eV/atom.



# Pm6Si2C

Pm6Si2C after structural relaxation (PBE, Alexandria via LeMat-Bulk).

It has space group P2_1/c (No. 14), with a = 6.354 Å, b = 7.988 Å, c = 11.272 Å, α = 90.00°, β = 122.35° and γ = 90.00°. The distinct sites, in fractional coordinates, are Pm at (0.113, 0.160, 0.445), Pm at (0.308, 0.705, 0.446), Pm at (0.362, 0.035, 0.247), Si at (0.191, 0.113, 0.757) and C at (0.500, 0.000, 0.500).

The magnetization comes out at 0.000 Bohr magnetons per cell. The calculation puts the energy relative to the lowest polymorph listed for this composition at 0.000 eV/atom.



# Pm4SiC2

Pm4SiC2 after structural relaxation (PBE, Alexandria via LeMat-Bulk).

It has space group Cmcm (No. 63), with a = 3.873 Å, b = 12.683 Å, c = 12.808 Å, α = 90.00°, β = 90.00° and γ = 90.00°. The distinct sites, in fractional coordinates, are Pm at (0.000, 0.000, 0.000), Pm at (0.000, 0.270, 0.109), Pm at (0.000, 0.434, 0.750), Si at (0.000, 0.105, 0.750) and C at (0.000, 0.362, 0.559).

The magnetization comes out at 0.000 Bohr magnetons per cell.



no.,E (Ha/atom),uncorrected formation energy (eV per atom)
1,-0.209,0.0294
2,-0.205,-0.0991
3,-0.238,-0.0087
4,-0.251,-0.3520
5,-0.213,-0.3896
6,-0.235,-0.2650